No. 1
A relaxed structure of SmAlZn2Pd2. Source: OQMD, functional PBE.

Results
**Total energy**: -51.2 eV for the cell shown

Geometry as CIF:
```
data_SmAlZn2Pd2
_chemical_formula_sum 'Sm2 Al2 Zn4 Pd4'
_cell_length_a 5.3857
_cell_length_b 9.2138
_cell_length_c 4.3056
_cell_angle_alpha 90.00
_cell_angle_beta 90.00
_cell_angle_gamma 90.00
_symmetry_space_group_name_H-M 'C m m m'
_symmetry_Int_Tables_number 65
_symmetry_space_group_name_Hall '-C 2 2'
loop_
_atom_site_label
_atom_site_fract_x
_atom_site_fract_y
_atom_site_fract_z
Sm1 0.0000 0.0000 0.0000
Al1 0.0000 0.5000 0.5000
Zn1 0.2500 0.2500 0.5000
Pd1 0.0000 0.3370 0.0000
```


No. 2
A relaxed structure of GePAuO. Source: OQMD, functional PBE.

Results
**Polymorph energy (0 for the lowest one)**: 80.9 kJ/mol of atoms

Geometry as CIF:
```
data_GePAuO
_chemical_formula_sum 'Ge2 P2 Au2 O2'
_cell_length_a 4.3317
_cell_length_b 4.3317
_cell_length_c 7.9028
_cell_angle_alpha 90.00
_cell_angle_beta 90.00
_cell_angle_gamma 90.00
_symmetry_space_group_name_H-M 'P 4/n m m'
_symmetry_Int_Tables_number 129
loop_
_symmetry_equiv_pos_as_xyz
'x,y,z'
'-x,-y,-z'
'-y+1/2,x,z'
'y+1/2,-x,-z'
'-x+1/2,-y+1/2,z'
'x+1/2,y+1/2,-z'
'y,-x+1/2,z'
'-y,x+1/2,-z'
'x+1/2,-y,-z'
'-x+1/2,y,z'
'-y,-x,-z'
'y,x,z'
'-x,y+1/2,-z'
'x,-y+1/2,z'
'y+1/2,x+1/2,-z'
'-y+1/2,-x+1/2,z'
loop_
_atom_site_label
_atom_site_fract_x
_atom_site_fract_y
_atom_site_fract_z
Ge1 0.2500 0.7500 0.0000
P1 0.2500 0.2500 0.1527
Au1 0.2500 0.2500 0.5517
O1 0.2500 0.7500 0.5000
```


No. 3
A relaxed structure of In2CoTc. Source: OQMD, functional PBE.

Results
**Polymorph energy (0 for the lowest one)**: 0.0 kJ/mol of atoms

Geometry as CIF:
```
data_In2CoTc
_chemical_formula_sum 'In8 Co4 Tc4'
_cell_length_a 6.4900
_cell_length_b 6.4900
_cell_length_c 6.4900
_cell_angle_alpha 90.00
_cell_angle_beta 90.00
_cell_angle_gamma 90.00
_symmetry_space_group_name_H-M 'F -4 3 m'
_symmetry_Int_Tables_number 216
_symmetry_space_group_name_Hall 'F -4 2 3'
loop_
_atom_site_label
_atom_site_fract_x
_atom_site_fract_y
_atom_site_fract_z
In1 0.0000 0.0000 0.0000
In2 0.2500 0.2500 0.2500
Co1 0.2500 0.2500 0.7500
Tc1 0.0000 0.0000 0.5000
```


No. 4
A relaxed structure of TaBeNiB. Source: OQMD, functional PBE.

Results
**Polymorph energy (0 for the lowest one)**: 1.6 kJ/mol of atoms

Geometry as CIF:
```
data_TaBeNiB
_chemical_formula_sum 'Ta4 Be4 Ni4 B4'
_cell_length_a 5.6041
_cell_length_b 5.6041
_cell_length_c 5.6041
_cell_angle_alpha 90.00
_cell_angle_beta 90.00
_cell_angle_gamma 90.00
_symmetry_space_group_name_H-M 'F -4 3 m'
_symmetry_Int_Tables_number 216
_symmetry_space_group_name_Hall 'F -4 2 3'
loop_
_atom_site_label
_atom_site_fract_x
_atom_site_fract_y
_atom_site_fract_z
Ta1 0.0000 0.0000 0.0000
Be1 0.0000 0.0000 0.5000
Ni1 0.2500 0.2500 0.2500
B1 0.2500 0.2500 0.7500
```


No. 5
A relaxed structure of ZnNiMoW. Source: OQMD, functional PBE.

Results
**Total energy**: -118.8 eV for the cell shown

Geometry as CIF:
```
data_ZnNiMoW
_chemical_formula_sum 'Zn4 Ni4 Mo4 W4'
_cell_length_a 6.1252
_cell_length_b 6.1252
_cell_length_c 6.1252
_cell_angle_alpha 90.00
_cell_angle_beta 90.00
_cell_angle_gamma 90.00
_symmetry_space_group_name_H-M 'F -4 3 m'
_symmetry_Int_Tables_number 216
_symmetry_space_group_name_Hall 'F -4 2 3'
loop_
_atom_site_label
_atom_site_fract_x
_atom_site_fract_y
_atom_site_fract_z
Zn1 0.0000 0.0000 0.0000
Ni1 0.2500 0.2500 0.2500
Mo1 0.2500 0.2500 0.7500
W1 0.0000 0.0000 0.5000
```


No. 6
A relaxed structure of ZnTcNiIr. Source: OQMD, functional PBE.

Results
**Total energy**: -103.6 eV for the cell shown

Geometry as CIF:
```
data_ZnTcNiIr
_chemical_formula_sum 'Zn4 Tc4 Ni4 Ir4'
_cell_length_a 6.0055
_cell_length_b 6.0055
_cell_length_c 6.0055
_cell_angle_alpha 90.00
_cell_angle_beta 90.00
_cell_angle_gamma 90.00
_symmetry_space_group_name_H-M 'F -4 3 m'
_symmetry_Int_Tables_number 216
_symmetry_space_group_name_Hall 'F -4 2 3'
loop_
_atom_site_label
_atom_site_fract_x
_atom_site_fract_y
_atom_site_fract_z
Zn1 0.0000 0.0000 0.0000
Tc1 0.2500 0.2500 0.7500
Ni1 0.2500 0.2500 0.2500
Ir1 0.0000 0.0000 0.5000
```


No. 7
A relaxed structure of IrBr. Source: OQMD, functional PBE.

Results
**Polymorph energy (0 for the lowest one)**: 5.4 kJ/mol of atoms

Geometry as CIF:
```
data_IrBr
_chemical_formula_sum 'Ir4 Br4'
_cell_length_a 5.7114
_cell_length_b 5.7114
_cell_length_c 5.7114
_cell_angle_alpha 90.00
_cell_angle_beta 90.00
_cell_angle_gamma 90.00
_symmetry_space_group_name_H-M 'F -4 3 m'
_symmetry_Int_Tables_number 216
_symmetry_space_group_name_Hall 'F -4 2 3'
loop_
_atom_site_label
_atom_site_fract_x
_atom_site_fract_y
_atom_site_fract_z
Ir1 0.0000 0.0000 0.0000
Br1 0.2500 0.2500 0.2500
```


No. 8
A relaxed structure of ZnSi17Ge13P. Source: OQMD, functional PBE.

Results
**Polymorph energy (0 for the lowest one)**: 0.6 kJ/mol of atoms

Geometry as CIF:
```
data_ZnSi17Ge13P
_chemical_formula_sum 'Zn1 Si17 Ge13 P1'
_cell_length_a 6.8309
_cell_length_b 10.4034
_cell_length_c 10.4067
_cell_angle_alpha 81.73
_cell_angle_beta 83.75
_cell_angle_gamma 70.91
_symmetry_space_group_name_H-M 'P 1'
_symmetry_Int_Tables_number 1
_symmetry_space_group_name_Hall 'P 1'
loop_
_atom_site_label
_atom_site_fract_x
_atom_site_fract_y
_atom_site_fract_z
Zn1 0.0000 0.0000 0.0000
Si1 0.3602 0.5476 0.1039
Si2 0.3653 0.1729 0.2202
Si3 0.3680 0.0438 0.5998
Si4 0.3700 0.4221 0.4772
Si5 0.4914 0.4376 0.6771
Si6 0.4969 0.3158 0.0585
Si7 0.4976 0.8159 0.5501
Si8 0.5014 0.9392 0.1737
Si9 0.8634 0.2328 0.0445
Si10 0.8658 0.7400 0.5366
Si11 0.8686 0.8594 0.1651
Si12 0.8714 0.1097 0.4046
Si13 0.8749 0.4814 0.2843
Si14 0.9844 0.8775 0.3650
Si15 0.9899 0.7528 0.7354
Si16 0.9926 0.6283 0.1223
Si17 0.9953 0.2509 0.2383
Ge1 0.3620 0.8035 0.3472
Ge2 0.3649 0.6757 0.7212
Ge3 0.3704 0.2982 0.8550
Ge4 0.4910 0.6914 0.9337
Ge5 0.4950 0.1864 0.4268
Ge6 0.4986 0.0568 0.8044
Ge7 0.4989 0.5606 0.3035
Ge8 0.8659 0.3607 0.6619
Ge9 0.8743 0.6155 0.9152
Ge10 0.8800 0.9806 0.7948
Ge11 0.9868 0.3738 0.8734
Ge12 0.9933 0.1215 0.6097
Ge13 0.9949 0.5058 0.4865
P1 0.3690 0.9249 0.9820
```